(1)
Compound: Li3Zn9Ni2
Source: Alexandria
Functional: PBE
Structure: optimized geometry

Cell lengths 7.432, 7.432, 7.432 Å; angles 147.79, 99.03, 89.82 degrees
Element x y z (fractional)
1 Li 0.000 0.000 0.000
2 Li 0.287 0.287 0.000
3 Li 0.713 0.713 0.000
4 Zn 0.001 0.372 0.629
5 Zn 0.144 0.863 0.282
6 Zn 0.257 0.628 0.629
7 Zn 0.419 0.137 0.282
8 Zn 0.500 0.000 0.500
9 Zn 0.581 0.863 0.718
10 Zn 0.743 0.372 0.371
11 Zn 0.856 0.137 0.718
12 Zn 0.999 0.628 0.371
13 Ni 0.349 0.500 0.849
14 Ni 0.651 0.500 0.151

Calculated values
E_form: -0.13 eV per atom
Space-group type: Immm (71)
DFT total energy: -30.520 eV for the cell shown
Calculated density: 5.76 Mg/m³


(2)
Compound: Pm2Zn3SnAu4
Source: Alexandria
Functional: PBE
Structure: optimized geometry

Cell lengths 4.283, 4.283, 11.565 Å; angles 90.00, 90.00, 90.00 degrees
Element x y z (fractional)
1 Pm 0.000 0.500 0.242
2 Pm 0.500 0.000 0.758
3 Zn 0.000 0.500 0.869
4 Zn 0.500 0.000 0.131
5 Zn 0.500 0.500 0.500
6 Sn 0.000 0.000 0.500
7 Au 0.000 0.000 0.000
8 Au 0.000 0.500 0.651
9 Au 0.500 0.000 0.349
10 Au 0.500 0.500 0.000

Calculated values
E_form: -0.53 eV per atom
Space-group type: P-4m2 (115)
DFT total energy: -35.710 eV for the cell shown
Calculated density: 10.90 Mg/m³


(3)
Compound: Nd3BiAsCl
Source: Alexandria
Functional: PBE
Structure: optimized geometry

Cell lengths 8.730, 4.406, 9.713 Å; angles 90.00, 102.83, 90.00 degrees
Element x y z (fractional)
1 Nd 0.073 0.250 0.350
2 Nd 0.222 0.250 0.985
3 Nd 0.390 0.750 0.632
4 Nd 0.610 0.250 0.368
5 Nd 0.778 0.750 0.015
6 Nd 0.927 0.750 0.650
7 Bi 0.317 0.750 0.273
8 Bi 0.683 0.250 0.727
9 As 0.161 0.250 0.659
10 As 0.839 0.750 0.341
11 Cl 0.397 0.750 0.920
12 Cl 0.603 0.250 0.080

Calculated values
Space-group type: P2_1/m (11)
DFT total energy: -64.087 eV for the cell shown
Formation energy from raw total energies: -710 kJ/mol of formula units
Calculated density: 6.86 Mg/m³


(4)
Compound: Th3CrB7
Source: Alexandria
Functional: PBE
Structure: optimized geometry

Cell lengths 8.392, 8.392, 9.636 Å; angles 90.00, 90.00, 155.05 degrees
Element x y z (fractional)
1 Th 0.103 0.897 0.562
2 Th 0.103 0.897 0.938
3 Th 0.244 0.756 0.250
4 Th 0.756 0.244 0.750
5 Th 0.897 0.103 0.062
6 Th 0.897 0.103 0.438
7 Cr 0.056 0.944 0.250
8 Cr 0.944 0.056 0.750
9 B 0.275 0.725 0.531
10 B 0.275 0.725 0.969
11 B 0.368 0.632 0.655
12 B 0.368 0.632 0.845
13 B 0.467 0.533 0.250
14 B 0.473 0.527 0.604
15 B 0.473 0.527 0.896
16 B 0.527 0.473 0.104
17 B 0.527 0.473 0.396
18 B 0.533 0.467 0.750
19 B 0.632 0.368 0.155
20 B 0.632 0.368 0.345
21 B 0.725 0.275 0.031
22 B 0.725 0.275 0.469

Calculated values
E_form: -0.43 eV per atom
Space-group type: Cmcm (63)
DFT total energy: -166.814 eV for the cell shown
Calculated density: 9.56 Mg/m³


(5)
Compound: RbPuGeS4
Source: Alexandria
Functional: PBE
Structure: optimized geometry

Cell lengths 6.611, 6.705, 9.147 Å; angles 90.00, 107.65, 90.00 degrees
Element x y z (fractional)
1 Rb 0.236 0.250 0.438
2 Rb 0.764 0.750 0.562
3 Pu 0.272 0.250 0.948
4 Pu 0.728 0.750 0.052
5 Ge 0.276 0.750 0.169
6 Ge 0.724 0.250 0.831
7 S 0.069 0.750 0.927
8 S 0.079 0.750 0.325
9 S 0.497 0.506 0.797
10 S 0.497 0.994 0.797
11 S 0.503 0.006 0.203
12 S 0.503 0.494 0.203
13 S 0.921 0.250 0.675
14 S 0.931 0.250 0.073

Calculated values
Space-group type: P2_1/m (11)
DFT total energy: -87.784 eV for the cell shown
Formation energy from raw total energies: -720 kJ/mol of formula units
Calculated density: 4.56 Mg/m³


(6)
Compound: La2AgAu2
Source: Alexandria
Functional: PBE
Structure: optimized geometry

Cell lengths 8.095, 8.095, 4.034 Å; angles 90.00, 90.00, 90.00 degrees
Element x y z (fractional)
1 La 0.172 0.328 0.000
2 La 0.328 0.828 0.000
3 La 0.672 0.172 0.000
4 La 0.828 0.672 0.000
5 Ag 0.000 0.000 0.500
6 Ag 0.500 0.500 0.500
7 Au 0.129 0.629 0.500
8 Au 0.371 0.129 0.500
9 Au 0.629 0.871 0.500
10 Au 0.871 0.371 0.500

Calculated values
E_form: -0.68 eV per atom
Space-group type: P4/mbm (127)
DFT total energy: -45.284 eV for the cell shown
Distance to the lowest polymorph of the same formula: 0 meV per atom
Calculated density: 9.79 Mg/m³